Below is a relaxed Cd2InTc crystal, with properties calculated at the GGA-PBEsol level.

Cell: 4.0320 4.0320 8.9520 Å, 90.00 90.00 90.00°
Space group I-4m2 (No. 119)
Inequivalent atoms, fractional coordinates:
Cd1 0.0000 0.0000 0.0000
Cd2 0.0000 0.5000 0.2500
In1 0.0000 0.0000 0.5000
Tc1 0.0000 0.5000 0.7500

Calculated formation energy, meV/atom: 305
DFT total energy, eV per atom: -3.856
Size of the total moment, μB per formula unit: 0.1